{"formula": "NbTe2F", "functional": "GGA-PBE", "state": "optimized geometry", "cell": [[1.795, 0.000, 10.018], [-0.897, 1.554, 10.018], [-0.897, -1.554, 10.018]], "species": ["F", "Nb", "Te", "Te"], "frac_coords": [[0.500, 0.500, 0.500], [0.000, 0.000, 0.000], [0.095, 0.095, 0.095], [0.905, 0.905, 0.905]], "volume_a3_per_atom": 21.0, "de_polymorph_ev_per_fu": 2.72}



{"formula": "TiNbF3", "functional": "GGA-PBE", "state": "optimized geometry", "cell": [[4.351, 0.000, 0.000], [0.000, 4.351, 0.000], [0.000, 0.000, 4.351]], "species": ["Nb", "F", "F", "F", "Ti"], "frac_coords": [[0.000, 0.000, 0.000], [0.500, 0.000, 0.000], [0.000, 0.500, 0.000], [0.000, 0.000, 0.500], [0.500, 0.500, 0.500]], "volume_a3_per_atom": 16.5, "de_polymorph_ev_per_fu": 0.66}



{"formula": "TiNbF3", "functional": "GGA-PBE", "state": "optimized geometry", "cell": [[-2.170, 2.598, -2.397], [-3.461, -2.134, 0.820], [-0.719, 2.429, 3.284]], "species": ["Ti", "Nb", "F", "F", "F"], "frac_coords": [[0.000, 0.000, 0.000], [0.500, 0.500, 0.500], [0.000, 0.000, 0.500], [0.500, 0.000, 0.000], [0.000, 0.500, 0.000]], "volume_a3_per_atom": 14.3, "de_polymorph_ev_per_fu": 0.00}



{"formula": "Ti2NbF", "functional": "GGA-PBE", "state": "optimized geometry", "cell": [[-1.541, 0.971, 4.073], [-2.794, 3.432, 0.569], [-4.282, -0.752, 1.003]], "species": ["Ti", "Ti", "Nb", "F"], "frac_coords": [[0.750, 0.750, 0.750], [0.250, 0.250, 0.250], [0.500, 0.500, 0.500], [0.000, 0.000, 0.000]], "volume_a3_per_atom": 15.7, "de_polymorph_ev_per_fu": 1.89}



{"formula": "Ti2NbF", "functional": "GGA-PBE", "state": "optimized geometry", "cell": [[-3.373, -4.608, -2.664], [4.033, -4.271, 2.280], [-1.466, -4.690, 2.515]], "species": ["Nb", "Nb", "Ti", "Ti", "Ti", "Ti", "F", "F"], "frac_coords": [[0.000, 0.000, 0.000], [0.750, 0.250, 0.500], [0.542, 0.125, 0.250], [0.375, 0.458, 0.750], [0.208, 0.625, 0.250], [0.875, 0.792, 0.750], [0.500, 0.500, 0.000], [0.250, 0.750, 0.500]], "volume_a3_per_atom": 16.2, "de_polymorph_ev_per_fu": 0.00}



{"formula": "TiNbF", "functional": "GGA-PBE", "state": "optimized geometry", "cell": [[2.844, 0.000, 0.000], [1.422, 4.619, 0.010], [1.422, 1.083, 7.299]], "species": ["Ti", "Ti", "Nb", "Nb", "F", "F"], "frac_coords": [[0.719, 0.343, 0.219], [0.281, 0.657, 0.781], [0.908, 0.766, 0.419], [0.092, 0.234, 0.581], [0.349, 0.280, 0.022], [0.651, 0.720, 0.978]], "volume_a3_per_atom": 16.0}



{"formula": "TiNb2TlF", "functional": "GGA-PBE", "state": "optimized geometry", "cell": [[-1.855, -1.361, -3.748], [-3.648, -0.907, 2.135], [-1.459, 4.079, -0.759]], "species": ["Ti", "Tl", "Nb", "Nb", "F"], "frac_coords": [[0.000, 0.500, 0.000], [0.500, 0.500, 0.500], [0.000, 0.000, 0.500], [0.500, 0.000, 0.000], [0.000, 0.000, 0.000]], "volume_a3_per_atom": 16.7}



{"formula": "NbTl3F", "functional": "GGA-PBE", "state": "optimized geometry", "cell": [[4.894, 0.000, 0.000], [0.000, 4.894, 0.000], [0.000, 0.000, 4.894]], "species": ["F", "Tl", "Tl", "Tl", "Nb"], "frac_coords": [[0.000, 0.000, 0.000], [0.000, 0.000, 0.500], [0.000, 0.500, 0.000], [0.500, 0.000, 0.000], [0.500, 0.500, 0.500]], "volume_a3_per_atom": 23.4, "de_polymorph_ev_per_fu": 0.00}



{"formula": "NbTl3F", "functional": "GGA-PBE", "state": "optimized geometry", "cell": [[-5.367, 1.353, 0.746], [-1.374, -2.949, -4.540], [-0.706, -4.546, 3.167]], "species": ["Nb", "F", "Tl", "Tl", "Tl"], "frac_coords": [[0.000, 0.000, 0.000], [0.500, 0.500, 0.500], [0.000, 0.000, 0.500], [0.500, 0.000, 0.000], [0.000, 0.500, 0.000]], "volume_a3_per_atom": 34.8, "de_polymorph_ev_per_fu": 0.81}



{"formula": "Nb2TlF11", "functional": "GGA-PBE", "state": "optimized geometry", "cell": [[7.489, 0.000, 3.903], [3.377, 8.020, 2.656], [0.019, 0.033, 9.098]], "species": ["Nb", "Nb", "Nb", "Nb", "F", "F", "F", "F", "F", "F", "F", "F", "F", "F", "F", "F", "F", "F", "F", "F", "F", "F", "F", "F", "F", "F", "Tl", "Tl"], "frac_coords": [[0.398, 0.321, 0.679], [0.102, 0.821, 0.179], [0.602, 0.679, 0.321], [0.898, 0.179, 0.821], [0.787, 0.419, 0.800], [0.160, 0.513, 0.711], [0.500, 0.500, 0.500], [0.006, 0.200, 0.581], [0.384, 0.289, 0.487], [0.713, 0.700, 0.081], [0.660, 0.211, 0.013], [0.213, 0.581, 0.200], [0.340, 0.789, 0.987], [0.494, 0.919, 0.300], [0.625, 0.297, 0.703], [0.375, 0.703, 0.297], [0.994, 0.800, 0.419], [0.000, 0.000, 0.000], [0.506, 0.081, 0.700], [0.125, 0.203, 0.797], [0.884, 0.987, 0.789], [0.616, 0.711, 0.513], [0.287, 0.300, 0.919], [0.875, 0.797, 0.203], [0.840, 0.487, 0.289], [0.116, 0.013, 0.211], [0.750, 0.750, 0.750], [0.250, 0.250, 0.250]], "volume_a3_per_atom": 19.5}



{"formula": "NbTlF5", "functional": "GGA-PBE", "state": "optimized geometry", "cell": [[-1.426, -5.974, 1.040], [5.338, -2.564, 1.935], [-0.644, -0.885, 8.236]], "species": ["Nb", "Nb", "F", "F", "F", "F", "F", "F", "F", "F", "F", "F", "Tl", "Tl"], "frac_coords": [[0.000, 0.000, 0.500], [0.000, 0.000, 0.000], [0.303, 0.790, 0.977], [0.697, 0.210, 0.023], [0.210, 0.697, 0.523], [0.730, 0.856, 0.589], [0.270, 0.144, 0.411], [0.997, 0.003, 0.750], [0.856, 0.730, 0.089], [0.144, 0.270, 0.911], [0.790, 0.303, 0.477], [0.003, 0.997, 0.250], [0.501, 0.499, 0.750], [0.499, 0.501, 0.250]], "volume_a3_per_atom": 20.8}



{"formula": "NbTl2F", "functional": "GGA-PBE", "state": "optimized geometry", "cell": [[0.000, 3.487, 3.487], [3.487, 0.000, 3.487], [3.487, 3.487, 0.000]], "species": ["Tl", "Tl", "Nb", "F"], "frac_coords": [[0.750, 0.750, 0.750], [0.250, 0.250, 0.250], [0.500, 0.500, 0.500], [0.000, 0.000, 0.000]], "volume_a3_per_atom": 21.2, "de_polymorph_ev_per_fu": 0.62}



{"formula": "NbTl3F7", "functional": "GGA-PBE", "state": "optimized geometry", "cell": [[7.962, -0.070, 0.000], [-2.824, 7.445, 0.000], [0.000, 0.000, 8.301]], "species": ["Tl", "Tl", "Tl", "Tl", "Tl", "Tl", "F", "F", "F", "F", "F", "F", "F", "F", "F", "F", "F", "F", "F", "F", "Nb", "Nb"], "frac_coords": [[0.500, 0.500, 0.500], [0.000, 0.499, 0.250], [0.500, 0.500, 0.000], [0.499, 0.000, 0.750], [0.000, 0.501, 0.750], [0.501, 0.000, 0.250], [0.263, 0.050, 0.001], [0.642, 0.358, 0.250], [0.001, 0.999, 0.750], [0.050, 0.263, 0.501], [0.950, 0.737, 0.001], [0.050, 0.263, 0.999], [0.358, 0.642, 0.750], [0.737, 0.950, 0.999], [0.263, 0.050, 0.499], [0.643, 0.357, 0.750], [0.950, 0.737, 0.499], [0.737, 0.950, 0.501], [0.357, 0.643, 0.250], [0.999, 0.001, 0.250], [0.000, 0.000, 0.000], [0.000, 0.000, 0.500]], "volume_a3_per_atom": 22.3}



{"formula": "Nb3TlF", "functional": "GGA-PBE", "state": "optimized geometry", "cell": [[5.199, 0.000, 0.000], [0.000, 5.199, 0.000], [0.000, 0.000, 5.199]], "species": ["Nb", "Nb", "Nb", "F", "Tl"], "frac_coords": [[0.000, 0.000, 0.500], [0.000, 0.500, 0.000], [0.500, 0.000, 0.000], [0.500, 0.500, 0.500], [0.000, 0.000, 0.000]], "volume_a3_per_atom": 28.1, "de_polymorph_ev_per_fu": 10.46}



{"formula": "Nb2Tl2F", "functional": "GGA-PBE", "state": "optimized geometry", "cell": [[-1.110, -6.509, -4.705], [6.087, -3.780, 3.794], [-2.232, -1.283, 2.302]], "species": ["Tl", "Tl", "Tl", "Tl", "F", "F", "Nb", "Nb", "Nb", "Nb"], "frac_coords": [[0.697, 0.197, 0.000], [0.303, 0.803, 0.000], [0.803, 0.697, 0.000], [0.197, 0.303, 0.000], [0.000, 0.000, 0.000], [0.500, 0.500, 0.000], [0.103, 0.603, 0.500], [0.603, 0.897, 0.500], [0.397, 0.103, 0.500], [0.897, 0.397, 0.500]], "volume_a3_per_atom": 22.7, "de_polymorph_ev_per_fu": 0.75}



{"formula": "NbTlF6", "functional": "GGA-PBE", "state": "optimized geometry", "cell": [[-4.551, -1.074, -4.844], [1.438, -4.139, -5.113], [-3.076, -5.972, -0.465]], "species": ["F", "F", "F", "F", "F", "F", "Nb", "Tl"], "frac_coords": [[0.796, 0.796, 0.204], [0.204, 0.796, 0.204], [0.204, 0.796, 0.796], [0.796, 0.204, 0.796], [0.204, 0.204, 0.796], [0.796, 0.204, 0.204], [0.000, 0.000, 0.000], [0.500, 0.500, 0.500]], "volume_a3_per_atom": 27.0}



{"formula": "Nb2Tl2F", "functional": "GGA-PBE", "state": "optimized geometry", "cell": [[3.716, 0.000, 0.000], [0.000, 3.716, 0.000], [1.858, 1.858, 8.111]], "species": ["Tl", "Tl", "Nb", "Nb", "F"], "frac_coords": [[0.587, 0.587, 0.826], [0.413, 0.413, 0.174], [0.250, 0.750, 0.500], [0.750, 0.250, 0.500], [0.000, 0.000, 0.000]], "volume_a3_per_atom": 22.4, "de_polymorph_ev_per_fu": 0.00}



{"formula": "NbTl2F", "functional": "GGA-PBE", "state": "optimized geometry", "cell": [[-2.720, -4.479, -4.944], [6.521, -0.656, -2.992], [2.549, -5.145, -1.990]], "species": ["Tl", "Tl", "Tl", "Tl", "F", "F", "Nb", "Nb"], "frac_coords": [[0.584, 0.125, 0.250], [0.375, 0.416, 0.750], [0.166, 0.625, 0.250], [0.875, 0.834, 0.750], [0.250, 0.750, 0.500], [0.500, 0.500, 0.000], [0.750, 0.250, 0.500], [0.000, 0.000, 0.000]], "volume_a3_per_atom": 21.5, "de_polymorph_ev_per_fu": 0.00}



{"formula": "Nb3TlF", "functional": "GGA-PBE", "state": "optimized geometry", "cell": [[4.408, 0.000, 0.000], [0.000, 4.408, 0.000], [0.000, 0.000, 4.408]], "species": ["Nb", "Nb", "Nb", "F", "Tl"], "frac_coords": [[0.000, 0.500, 0.000], [0.000, 0.000, 0.500], [0.500, 0.000, 0.000], [0.000, 0.000, 0.000], [0.500, 0.500, 0.500]], "volume_a3_per_atom": 17.1, "de_polymorph_ev_per_fu": 0.00}



{"formula": "NbTl2Zn3F12", "functional": "GGA-PBE", "state": "optimized geometry", "cell": [[-5.131, -5.157, -2.575], [0.624, -3.350, -6.924], [1.717, -7.477, -0.835]], "species": ["F", "F", "F", "F", "F", "F", "F", "F", "F", "F", "F", "F", "Nb", "Tl", "Tl", "Zn", "Zn", "Zn"], "frac_coords": [[0.078, 0.679, 0.078], [0.679, 0.083, 0.679], [0.922, 0.922, 0.321], [0.679, 0.078, 0.078], [0.922, 0.321, 0.922], [0.083, 0.679, 0.679], [0.917, 0.321, 0.321], [0.679, 0.679, 0.083], [0.321, 0.321, 0.917], [0.321, 0.917, 0.321], [0.321, 0.922, 0.922], [0.078, 0.078, 0.679], [0.000, 0.000, 0.000], [0.592, 0.592, 0.592], [0.408, 0.408, 0.408], [0.500, 0.000, 0.000], [0.000, 0.500, 0.000], [0.000, 0.000, 0.500]], "volume_a3_per_atom": 17.1}



Number 1: E_form (uncorrected) -0.10 eV/f.u.. Number 2: E_form (uncorrected) -6.15 eV/f.u.. Number 3: E_form (uncorrected) -6.81 eV/f.u.. Number 4: E_form (uncorrected) 0.06 eV/f.u.. Number 5: E_form (uncorrected) -1.83 eV/f.u.. Number 6: E_form (uncorrected) -3.36 eV/f.u.. Number 7: E_form (uncorrected) -0.61 eV/f.u.. Number 8: E_form (uncorrected) 0.64 eV/f.u.. Number 9: E_form (uncorrected) 1.45 eV/f.u.. Number 10: E_form (uncorrected) -40.18 eV/f.u.. Number 11: E_form (uncorrected) -18.55 eV/f.u.. Number 12: E_form (uncorrected) 0.73 eV/f.u.. Number 13: E_form (uncorrected) -25.34 eV/f.u.. Number 14: E_form (uncorrected) 10.70 eV/f.u.. Number 15: E_form (uncorrected) 1.02 eV/f.u.. Number 16: E_form (uncorrected) -22.66 eV/f.u.. Number 17: E_form (uncorrected) 0.27 eV/f.u.. Number 18: E_form (uncorrected) 0.11 eV/f.u.. Number 19: E_form (uncorrected) 0.24 eV/f.u.. Number 20: E_form (uncorrected) -42.61 eV/f.u..